Entry 1:
This record from Alexandria via LeMat-Bulk describes a relaxed CrSe2 crystal. The functional is PBE-GGA.

abc: 3.5093 3.5093 5.8738
angles: 90.00 90.00 120.00
Space group P-3m1 (No. 164)
Inequivalent atoms, fractional coordinates:
Cr 0.0000 0.0000 0.0000
Se 0.3333 0.6667 0.7525

Entry 2:
This record from Alexandria via LeMat-Bulk describes a relaxed CrSe2 crystal. The functional is PBE-GGA.

abc: 15.2953 3.1273 5.7532
angles: 90.00 105.75 90.00
Space group C2/m (No. 12)
Inequivalent atoms, fractional coordinates:
Cr 0.2447 0.0000 0.3054
Se 0.1299 0.5000 0.3359
Se 0.1600 0.0000 0.8631

Entry 3:
This record from Alexandria via LeMat-Bulk describes a relaxed CrSe crystal. The functional is PBE-GGA.

abc: 3.2858 3.2858 3.2858
angles: 90.00 90.00 90.00
Space group Pm-3m (No. 221)
Inequivalent atoms, fractional coordinates:
Cr 0.0000 0.0000 0.0000
Se 0.5000 0.5000 0.5000

| no. | final energy (eV per atom) | uncorrected formation energy (eV/atom) |
| --- | --- | --- |
| 1 | -5.9914 | -0.4606 |
| 2 | -5.9678 | -0.4370 |
| 3 | -6.5246 | 0.0293 |